Sr3La2NpN6 (GGA-PBE, optimized geometry); SG = C2/m, No. 12; magnetization = 1.0 μB/f.u.; DFT total energy = -7.5890 eV/atom
1.0
-1.6157 6.1418 -0.7359
-0.5761 -2.7978 5.7196
6.3620 0.5256 -0.2966
Sr La Np N
3 2 1 6
direct
0.1611 0.8389 0.5000
0.8389 0.1611 0.5000
0.5000 0.5000 0.5000
0.3329 0.6671 0.0000
0.6671 0.3329 0.0000
0.0000 0.0000 0.0000
0.9310 0.6394 0.7919
0.7760 0.7760 0.2044
0.0690 0.3606 0.2081
0.6394 0.9310 0.7919
0.2240 0.2240 0.7956
0.3606 0.0690 0.2081

***

Sr2LaNp3N8 (GGA-PBE, optimized geometry); SG = R3m, No. 160; magnetization = 4.0 μB/f.u.; DFT total energy = -9.1978 eV/atom
1.0
6.9721 0.0000 0.0000
3.4860 6.0380 0.0000
3.4860 2.0127 5.8555
Sr La Np N
2 1 3 8
direct
0.1184 0.1184 0.6449
0.4986 0.4986 0.5042
0.8907 0.8907 0.3279
0.4988 0.0009 0.0014
0.0009 0.4988 0.0014
0.4988 0.4988 0.0014
0.2717 0.2717 0.1848
0.7292 0.7292 0.8123
0.2482 0.2482 0.8249
0.6787 0.2482 0.8249
0.2482 0.6787 0.8249
0.7507 0.3090 0.1896
0.3090 0.7507 0.1896
0.7507 0.7507 0.1896

***

Sr2LaNpN4 (GGA-PBE, optimized geometry); SG = P2/m, No. 10; magnetization = 2.0 μB/f.u.; DFT total energy = -7.8746 eV/atom
1.0
-2.9449 -1.6241 1.4577
3.7737 -3.7334 3.4640
-1.3049 5.2955 3.2640
Sr La Np N
2 1 1 4
direct
0.5000 0.0000 0.5000
0.0000 0.5000 0.5000
0.5000 0.5000 0.0000
0.0000 0.0000 0.0000
0.5000 0.2198 0.2083
0.5000 0.7802 0.7917
0.0000 0.2170 0.8036
0.0000 0.7830 0.1964

***

Sr2La3NpN6 (GGA-PBE, optimized geometry); SG = C2/m, No. 12; magnetization = 1.6 μB/f.u.; DFT total energy = -7.9148 eV/atom
1.0
-6.2036 0.3509 -1.5658
3.3083 -5.3662 -1.1483
-0.5188 -0.4028 6.3050
Sr La Np N
2 3 1 6
direct
0.3332 0.6668 0.0000
0.6668 0.3332 0.0000
0.1609 0.8391 0.5000
0.8391 0.1609 0.5000
0.5000 0.5000 0.5000
0.0000 0.0000 0.0000
0.9234 0.6528 0.7731
0.7949 0.7949 0.2511
0.0766 0.3472 0.2269
0.6528 0.9234 0.7731
0.2051 0.2051 0.7489
0.3472 0.0766 0.2269

***

La2NpTaN6 (GGA-PBE, optimized geometry); SG = P2_1/c, No. 14; magnetization = 0.1 μB/f.u.; DFT total energy = -9.6980 eV/atom
1.0
-1.5891 3.7274 4.2453
-5.2368 -2.5266 0.2582
2.8118 -5.2474 5.6800
La Np Ta N
4 2 2 12
direct
0.0060 0.9753 0.2510
0.5060 0.5247 0.7510
0.9940 0.0247 0.7490
0.4940 0.4753 0.2490
0.5000 0.0000 0.5000
0.0000 0.5000 0.0000
0.5000 0.0000 0.0000
0.0000 0.5000 0.5000
0.2798 0.7176 0.0420
0.7798 0.7824 0.5420
0.7202 0.2824 0.9580
0.2202 0.2176 0.4580
0.2753 0.7194 0.4545
0.7753 0.7806 0.9545
0.7247 0.2806 0.5455
0.2247 0.2194 0.0455
0.9175 0.5118 0.2510
0.4175 0.9882 0.7510
0.0825 0.4882 0.7490
0.5825 0.0118 0.2490

***

La2TbNpN4 (GGA-PBE, optimized geometry); SG = P2/m, No. 10; magnetization = 2.6 μB/f.u.; DFT total energy = -8.9558 eV/atom
1.0
3.5737 0.0000 0.0000
0.0000 6.1149 0.1235
0.0000 -2.1246 5.9128
La Tb Np N
2 1 1 4
direct
0.5000 0.0000 0.5000
0.0000 0.5000 0.5000
0.5000 0.5000 0.0000
0.0000 0.0000 0.0000
0.5000 0.2277 0.2144
0.5000 0.7723 0.7856
0.0000 0.2375 0.7877
0.0000 0.7625 0.2123

***

LaTb2NpN4 (GGA-PBE, optimized geometry); SG = Cmcm, No. 63; magnetization = 4.0 μB/f.u.; DFT total energy = -8.7382 eV/atom
1.0
3.4775 0.0000 0.0000
-1.7387 6.6042 0.0000
0.0000 0.0000 11.0255
La Tb Np N
2 4 2 8
direct
0.2329 0.4657 0.7500
0.7671 0.5343 0.2500
0.3736 0.7472 0.4851
0.6264 0.2528 0.9851
0.6264 0.2528 0.5149
0.3736 0.7472 0.0149
0.9633 0.9266 0.7500
0.0367 0.0734 0.2500
0.2007 0.4014 0.1116
0.7993 0.5986 0.6116
0.7993 0.5986 0.8884
0.2007 0.4014 0.3884
0.0000 0.0000 0.5000
0.0000 0.0000 0.0000
0.5717 0.1434 0.7500
0.4283 0.8566 0.2500

***

La2NpTcN5 (GGA-PBE, optimized geometry); SG = P4/mmm, No. 123; magnetization = 2.5 μB/f.u.; DFT total energy = -9.3114 eV/atom
1.0
-2.6403 -2.7182 -0.8998
2.7781 -2.7283 0.0897
-1.5289 -1.2821 8.3596
La Np Tc N
2 1 1 5
direct
0.5000 0.5000 0.2904
0.5000 0.5000 0.7096
0.0000 0.0000 0.0000
0.0000 0.0000 0.5000
0.0000 0.5000 0.5000
0.5000 0.0000 0.5000
0.0000 0.0000 0.7645
0.0000 0.0000 0.2355
0.5000 0.5000 0.0000

***

Formation energy (no corrections) for the records above, in order: -13.28; -15.05; -8.46; -13.94; -12.38; -10.92; -9.48; -9.01 eV/f.u.